1.
A relaxed structure of Ta5Mo3, computed with PBE.

Summary:
The calculation puts the density of states at the Fermi level at 7.88 states/eV/cell. As for the excess energy over the best structure of this formula in the dataset: 31 meV per atom. As for the energy relative to the elements: -0.142 eV per atom. The final energy is -92.89 eV per cell. For the density, the calculation gives 14.40 g/cm³. Its space group is I4/mmm, No. 139.

Cell lengths 7.2682, 7.2682, 7.2682 Å; angles 143.11, 143.11, 53.15 degrees
Last column: nearest neighbours and their distance in Å.
Fractional positions:
1 Mo 0.0019 0.0019 0.0000  8 Ta 2.78-2.81
2 Mo 0.7500 0.7500 0.0000  8 Ta 2.83
3 Mo 0.4981 0.4981 0.0000  8 Ta 2.78-2.81
4 Ta 0.3774 0.8774 0.5000  6 Mo 2.78-2.83, 2 Ta 2.83
5 Ta 0.1226 0.6226 0.5000  6 Mo 2.78-2.83, 2 Ta 2.83
6 Ta 0.8774 0.3774 0.5000  6 Mo 2.78-2.83, 2 Ta 2.83
7 Ta 0.2500 0.2500 0.0000  8 Ta 2.83
8 Ta 0.6226 0.1226 0.5000  6 Mo 2.78-2.83, 2 Ta 2.83

=====

2.
A relaxed structure of Ca2ErTl, computed with PBE.

Summary:
The calculation puts the density of states at the Fermi level at 1.15 states/eV/cell. As for the excess energy over the best structure of this formula in the dataset: 0 meV per atom. As for the energy relative to the elements: -0.158 eV per atom. The final energy is -11.57 eV per cell. For the density, the calculation gives 6.13 g/cm³. Its space group is P4/mmm, No. 123.

Cell lengths 5.2134, 4.8434, 4.8434 Å; angles 90.00, 90.00, 90.00 degrees
Last column: nearest neighbours and their distance in Å.
Fractional positions:
1 Tl 0.5000 0.0000 0.0000  4 Er 3.42, 8 Ca 3.56
2 Ca 0.0000 0.0000 0.5000  4 Ca 3.42, 4 Er 3.56, 4 Tl 3.56
3 Ca 0.0000 0.5000 0.0000  4 Ca 3.42, 4 Er 3.56, 4 Tl 3.56
4 Er 0.5000 0.5000 0.5000  4 Tl 3.42, 8 Ca 3.56

=====

3.
A relaxed structure of Ru2N4F, computed with PBE.

Summary:
The calculation puts the density of states at the Fermi level at 2.18 states/eV/cell. The final energy is -43.36 eV per cell. For the density, the calculation gives 4.52 g/cm³. Its space group is I4/mmm, No. 139.

Cell lengths 3.8020, 3.8020, 7.5456 Å; angles 75.41, 75.41, 90.00 degrees
Last column: nearest neighbours and their distance in Å.
Fractional positions:
1 Ru 0.5909 0.5909 0.8182  1 N 1.63
2 Ru 0.4091 0.4091 0.1818  1 N 1.63
3 N 0.7063 0.7063 0.5873  1 Ru 1.63
4 N 0.2937 0.2937 0.4127  1 Ru 1.63
5 N 0.0000 0.5000 0.0000  2 F 1.90
6 N 0.5000 0.0000 0.0000  2 F 1.90
7 F 0.0000 0.0000 0.0000  4 N 1.90

=====

4.
A relaxed structure of CsHg3Pd, computed with PBE.

Summary:
The calculation puts the density of states at the Fermi level at 6.32 states/eV/cell. As for the excess energy over the best structure of this formula in the dataset: 152 meV per atom. As for the energy relative to the elements: -0.124 eV per atom. The final energy is -30.29 eV per cell. For the density, the calculation gives 8.25 g/cm³. Its space group is C2/c, No. 15.

Cell lengths 15.2298, 9.4219, 9.4219 Å; angles 87.55, 126.77, 53.23 degrees
Last column: nearest neighbours and their distance in Å.
Fractional positions:
1 Cs 0.3755 0.1039 0.5772  2 Pd 3.64-3.98, 8 Hg 3.72-4.06
2 Cs 0.1245 0.0772 0.6039  2 Pd 3.64-3.98, 8 Hg 3.72-4.06
3 Cs 0.6245 0.8961 0.4228  2 Pd 3.64-3.98, 8 Hg 3.72-4.06
4 Cs 0.8755 0.9228 0.3961  2 Pd 3.64-3.98, 8 Hg 3.72-4.06
5 Hg 0.4227 0.4100 0.4386  3 Pd 2.80-2.86
6 Hg 0.0773 0.9386 0.9100  3 Pd 2.80-2.86
7 Hg 0.5773 0.5900 0.5614  3 Pd 2.80-2.86
8 Hg 0.9227 0.0614 0.0900  3 Pd 2.80-2.86
9 Hg 0.9889 0.3005 0.9935  2 Pd 2.81-2.90, 1 Hg 3.09
10 Hg 0.5111 0.4935 0.8005  2 Pd 2.81-2.90, 1 Hg 3.09
11 Hg 0.0111 0.6995 0.0065  2 Pd 2.81-2.90, 1 Hg 3.09
12 Hg 0.4889 0.5065 0.1995  2 Pd 2.81-2.90, 1 Hg 3.09
13 Hg 0.8768 0.6387 0.1187  1 Pd 2.80, 1 Hg 3.09
14 Hg 0.6232 0.6187 0.1387  1 Pd 2.80, 1 Hg 3.09
15 Hg 0.1232 0.3613 0.8813  1 Pd 2.80, 1 Hg 3.09
16 Hg 0.3768 0.3813 0.8613  1 Pd 2.80, 1 Hg 3.09
17 Pd 0.7500 0.1597 0.6597  6 Hg 2.80-2.86
18 Pd 0.2500 0.8403 0.3403  6 Hg 2.80-2.86
19 Pd 0.7500 0.4877 0.9877  6 Hg 2.80-2.90
20 Pd 0.2500 0.5123 0.0123  6 Hg 2.80-2.90

=====

5.
A relaxed structure of Na4SnRh3S8, computed with PBE.

Summary:
The calculation puts the density of states at the Fermi level at 5.50 states/eV/cell. The final energy is -75.86 eV per cell. For the density, the calculation gives 4.24 g/cm³. Its space group is R-3m, No. 166.

Cell lengths 7.3927, 7.7083, 7.3929 Å; angles 118.69, 120.00, 90.00 degrees
Last column: nearest neighbours and their distance in Å.
Fractional positions:
1 Na 0.5000 0.0000 0.0000  6 S 2.80
2 Na 0.5000 0.0000 0.5000  6 S 2.92-2.94
3 Na 0.0000 0.0000 0.0000  6 S 2.91-2.94
4 Na 0.0000 0.0000 0.5000  6 S 2.92-2.94
5 Sn 0.0000 0.5000 0.0000  6 S 2.59
6 Rh 0.5000 0.5000 0.0000  6 S 2.43-2.46
7 Rh 0.5000 0.5000 0.5000  6 S 2.43-2.46
8 Rh 0.0000 0.5000 0.5000  6 S 2.43-2.46
9 S 0.2419 0.6968 0.9552  2 Rh 2.43, 1 Sn 2.59
10 S 0.2418 0.6968 0.4837  2 Rh 2.43, 1 Sn 2.59
11 S 0.2697 0.3094 0.5395  3 Rh 2.46
12 S 0.7133 0.6968 0.9552  2 Rh 2.43, 1 Sn 2.59
13 S 0.2867 0.3032 0.0448  2 Rh 2.43, 1 Sn 2.59
14 S 0.7303 0.6906 0.4605  3 Rh 2.46
15 S 0.7582 0.3032 0.5163  2 Rh 2.43, 1 Sn 2.59
16 S 0.7581 0.3032 0.0448  2 Rh 2.43, 1 Sn 2.59

=====

6.
A relaxed structure of Be2CuSi, computed with PBE.

Summary:
The calculation puts the density of states at the Fermi level at 1.01 states/eV/cell. The final energy is -16.34 eV per cell. For the density, the calculation gives 4.22 g/cm³. Its space group is C2/m, No. 12.

Cell lengths 4.0552, 4.0552, 4.1734 Å; angles 82.84, 82.84, 39.40 degrees
Last column: nearest neighbours and their distance in Å.
Fractional positions:
1 Be 0.9987 0.9987 0.0035  3 Si 2.29-2.48, 3 Cu 2.29-2.45, 4 Be 2.47-2.52
2 Be 0.5013 0.5013 0.4965  3 Si 2.29-2.48, 3 Cu 2.29-2.45, 4 Be 2.47-2.52
3 Si 0.7500 0.7500 0.7500  6 Be 2.29-2.48, 4 Cu 2.49
4 Cu 0.2500 0.2500 0.2500  6 Be 2.29-2.45, 4 Si 2.49

=====

7.
A relaxed structure of PuCoTe2, computed with PBE.

Summary:
The calculation puts the density of states at the Fermi level at 13.00 states/eV/cell. The final energy is -27.98 eV per cell. For the density, the calculation gives 6.19 g/cm³. Its space group is R-3m, No. 166.

Cell lengths 4.5712, 4.5712, 8.6827 Å; angles 74.74, 74.74, 60.00 degrees
Last column: nearest neighbours and their distance in Å.
Fractional positions:
1 Te 0.4006 0.4006 0.7981  1 Co 2.47
2 Te 0.5994 0.5994 0.2019  1 Co 2.47
3 Co 0.5000 0.5000 0.5000  2 Te 2.47
4 Pu 0.0000 0.0000 0.0000  6 Te 3.12

=====

8.
A relaxed structure of Cu4Pd8Pt3, computed with PBE.

Summary:
The calculation puts the density of states at the Fermi level at 17.76 states/eV/cell. As for the energy relative to the elements: 0.231 eV per atom. The final energy is -72.58 eV per cell. For the density, the calculation gives 11.63 g/cm³. Its space group is C2/m, No. 12.

Cell lengths 5.1719, 7.3725, 7.3725 Å; angles 89.41, 111.35, 111.35 degrees
Last column: nearest neighbours and their distance in Å.
Fractional positions:
1 Cu 0.5000 0.0000 0.0000  6 Pd 2.48-2.59, 2 Cu 2.59
2 Cu 0.0000 0.5000 0.0000  6 Pd 2.57-2.86, 2 Pt 2.59
3 Cu 0.0000 0.0000 0.0000  4 Pd 2.57-2.58, 2 Cu 2.59
4 Cu 0.0000 0.0000 0.5000  6 Pd 2.57-2.86, 2 Pt 2.59
5 Pd 0.5025 0.2479 0.2479  2 Pd 2.56-2.61, 2 Cu 2.57-2.59, 3 Pt 2.59-2.65
6 Pd 0.0000 0.6385 0.3615  4 Pt 2.82-2.96, 2 Cu 2.86, 7 Pd 2.87-3.02
7 Pd 0.9939 0.2446 0.2446  4 Cu 2.53-2.59, 2 Pd 2.56-2.61, 1 Pt 2.61
8 Pd 0.5000 0.7605 0.2395  3 Cu 2.48-2.57, 3 Pt 2.62-2.70
9 Pd 0.5000 0.2395 0.7605  3 Cu 2.48-2.57, 3 Pt 2.62-2.70
10 Pd 0.0061 0.7554 0.7554  4 Cu 2.53-2.59, 2 Pd 2.56-2.61, 1 Pt 2.61
11 Pd 0.0000 0.3615 0.6385  4 Pt 2.82-2.96, 2 Cu 2.86, 7 Pd 2.87-3.02
12 Pd 0.4975 0.7521 0.7521  2 Pd 2.56-2.61, 2 Cu 2.57-2.59, 3 Pt 2.59-2.65
13 Pt 0.5000 0.5000 0.0000  2 Cu 2.59, 6 Pd 2.59-2.82
14 Pt 0.5000 0.0000 0.5000  2 Cu 2.59, 6 Pd 2.59-2.82
15 Pt 0.5000 0.5000 0.5000  6 Pd 2.61-2.70